Cs2MnCd | PBE-GGA | relaxed

Cell and atoms, written as CIF:
```
data_Cs2MnCd
_chemical_formula_sum 'Cs4 Mn2 Cd2'
_cell_length_a 10.106
_cell_length_b 10.106
_cell_length_c 10.106
_cell_angle_alpha 94.03
_cell_angle_beta 94.03
_cell_angle_gamma 149.27
_space_group_name_H-M_alt 'P 1'
_space_group_IT_number 1
_space_group_name_Hall 'P 1'
loop_
_atom_site_label
_atom_site_type_symbol
_atom_site_fract_x
_atom_site_fract_y
_atom_site_fract_z
Cs1 Cs 0.375 0.047 0.172
Cs2 Cs 0.797 0.625 0.672
Cs3 Cs 0.875 0.203 0.828
Cs4 Cs 0.953 0.125 0.328
Mn1 Mn 0.000 0.000 0.000
Mn2 Mn 0.750 0.250 0.500
Cd1 Cd 0.250 0.750 0.500
Cd2 Cd 0.500 0.500 0.000
```

Relative energy among the computed polymorphs = 0.000 eV/atom
Symmetry = I-42d (122)
Formation enthalpy at 0 K = 0.55 eV per atom
E_tot = -2.394 eV per atom